No. 1
Density functional theory data (PBE) for an optimized crystal structure of La4Sm2Ho.

Output
**ρ**: 6.833 g/cm3
**Electronic total energy**: -0.17459 hartree per atom
**Magnetic moment**: 0.000 μB/cell
**N(E_F)**: 22.4 states/eV per cell
**Polymorph energy (0 for the lowest one)**: 0.000 eV/atom

Lattice parameters (Å, degrees): 6.825 8.697 8.855 91.07 100.03 105.96
Space group P1 (No. 1)
Inequivalent atoms, fractional coordinates:
La 0.000 0.000 0.000 (multiplicity 1)
La 0.021 0.184 0.676 (multiplicity 1)
La 0.159 0.472 0.422 (multiplicity 1)
La 0.508 0.078 0.836 (multiplicity 1)
La 0.664 0.407 0.551 (multiplicity 1)
La 0.751 0.122 0.277 (multiplicity 1)
La 0.841 0.712 0.251 (multiplicity 1)
La 0.951 0.439 0.966 (multiplicity 1)
Sm 0.068 0.767 0.685 (multiplicity 1)
Sm 0.340 0.774 0.135 (multiplicity 1)
Sm 0.434 0.363 0.138 (multiplicity 1)
Sm 0.575 0.820 0.527 (multiplicity 1)
Ho 0.258 0.059 0.397 (multiplicity 1)
Ho 0.504 0.608 0.838 (multiplicity 1)

---

No. 2
Density functional theory data (PBE) for an optimized crystal structure of La2Sm5Ho3.

Output
**ρ**: 7.371 g/cm3
**Electronic total energy**: -0.16651 hartree per atom
**Magnetic moment**: 0.000 μB/cell
**N(E_F)**: 68.5 states/eV per cell

Lattice parameters (Å, degrees): 10.910 16.097 9.522 90.00 124.77 90.00
Space group C2/c (No. 15)
Inequivalent atoms, fractional coordinates:
La 0.142 0.125 0.050 (multiplicity 8)
Sm 0.000 0.230 0.250 (multiplicity 4)
Sm 0.000 0.272 0.750 (multiplicity 4)
Sm 0.000 0.469 0.750 (multiplicity 4)
Sm 0.230 0.384 0.219 (multiplicity 8)
Ho 0.000 0.024 0.250 (multiplicity 4)
Ho 0.158 0.380 0.545 (multiplicity 8)

---

No. 3
Density functional theory data (PBE) for an optimized crystal structure of La8SmHo5.

Output
**ρ**: 6.980 g/cm3
**Electronic total energy**: -0.17025 hartree per atom
**Magnetic moment**: 0.000 μB/cell
**N(E_F)**: 20.0 states/eV per cell

Lattice parameters (Å, degrees): 8.647 8.708 8.733 112.93 98.35 117.00
Space group P1 (No. 1)
Inequivalent atoms, fractional coordinates:
La 0.000 0.000 0.000 (multiplicity 1)
La 0.016 0.410 0.811 (multiplicity 1)
La 0.166 0.133 0.501 (multiplicity 1)
La 0.218 0.515 0.295 (multiplicity 1)
La 0.338 0.869 0.129 (multiplicity 1)
La 0.487 0.652 0.755 (multiplicity 1)
La 0.600 0.409 0.375 (multiplicity 1)
La 0.630 0.132 0.959 (multiplicity 1)
Sm 0.533 0.130 0.591 (multiplicity 1)
Ho 0.118 0.781 0.645 (multiplicity 1)
Ho 0.397 0.364 0.962 (multiplicity 1)
Ho 0.746 0.878 0.532 (multiplicity 1)
Ho 0.831 0.177 0.345 (multiplicity 1)
Ho 0.885 0.650 0.177 (multiplicity 1)

---

no.,formation energy from the elements (kJ/mol of formula units)
1,45
2,181
3,209